VASP calculation (PBE+U) on crystalline CoCu3P4O16 at its relaxed geometry.

abc: 5.985 5.149 10.086
angles: 86.58 90.00 90.00
Each line ends with the local moment (μB).
Positions (direct):
Co: 0.000 0.059 0.705  3.09
Cu: 0.500 0.874 0.314  0.02
Cu: 0.500 0.655 0.812  -0.04
Cu: 0.000 0.368 0.187  -0.01
P: 0.000 0.921 0.394  0.00
P: 0.000 0.559 0.889  0.00
P: 0.500 0.456 0.115  0.00
P: 0.500 0.070 0.603  0.01
O: 0.000 0.865 0.545  0.11
O: 0.200 0.782 0.329  0.03
O: 0.800 0.782 0.329  0.03
O: 0.500 0.772 0.637  0.02
O: 0.500 0.747 0.143  0.01
O: 0.192 0.730 0.820  0.05
O: 0.808 0.730 0.820  0.05
O: 0.000 0.602 0.040  0.02
O: 0.500 0.436 0.963  0.00
O: 0.697 0.297 0.178  0.00
O: 0.303 0.297 0.178  0.00
O: 0.000 0.273 0.864  0.07
O: 0.000 0.219 0.362  0.01
O: 0.709 0.202 0.661  0.18
O: 0.291 0.202 0.661  0.18
O: 0.500 0.104 0.449  0.02

Symmetry: Pm
Total moment (Bohr magnetons per cell): 4.01
Uncorrected energy (eV per cell): -153.384